P | A plane-wave DFT calculation with PBE was carried out for crystalline Tb2Nd6Ho3 at its relaxed geometry.

Output
Space-group type = I4/mmm (139)
Spin magnetization = 0.00 μB per atom

Cell and atoms, written as extended XYZ:
```
11
Lattice="-2.3849 2.3849 16.9945 2.3849 -2.3849 16.9945 2.3849 2.3849 -16.9945" Properties=species:S:1:pos:R:3 pbc="T T T"
Tb 0.0000 0.0000 1.5287
Tb 0.0000 0.0000 32.4604
Nd 2.3849 0.0000 4.0913
Nd 0.0000 0.0000 6.9447
Nd 2.3849 0.0000 12.9032
Nd 0.0000 2.3849 4.0913
Nd 0.0000 0.0000 27.0444
Nd 0.0000 2.3849 12.9032
Ho 0.0000 0.0000 10.3683
Ho 0.0000 0.0000 16.9945
Ho 0.0000 0.0000 23.6208
```



Q | A plane-wave DFT calculation with PBE was carried out for crystalline Tb2Nd6Ho3 at its relaxed geometry.

Output
Space-group type = P-1 (2)
Spin magnetization = 0.00 μB per atom

Cell and atoms, written as extended XYZ:
```
11
Lattice="6.2632 0.0000 0.0000 -2.0715 7.7907 0.0000 -1.0340 -2.7815 7.5338" Properties=species:S:1:pos:R:3 pbc="T T T"
Tb 0.5347 3.0715 0.3502
Tb 2.6230 1.9377 7.1836
Nd -1.5396 4.1767 3.0762
Nd 0.5206 -0.2801 1.7319
Nd -0.4908 3.6036 6.5179
Nd 3.6485 1.4056 1.0159
Nd 2.6371 5.2893 5.8019
Nd 4.6973 0.8324 4.4576
Ho 1.5718 -0.8206 5.1402
Ho 1.5789 2.5046 3.7669
Ho 1.5859 5.8298 2.3935
```



Result of the stability comparison: P is the least stable of them.



P | A plane-wave DFT calculation with PBE was carried out for crystalline Tb2NdHo2 at its relaxed geometry.

Output
Space-group type = Fddd (70)
Spin magnetization = 0.00 μB per atom

Cell and atoms, written as extended XYZ:
```
10
Lattice="0.0000 5.8072 11.3478 2.7744 0.0000 11.3478 2.7744 5.8072 0.0000" Properties=species:S:1:pos:R:3 pbc="T T T"
Tb 2.0808 0.5098 8.5108
Tb 3.4680 3.4134 14.1847
Tb 2.0808 8.2011 8.5108
Tb 3.4680 11.1047 14.1847
Nd 2.0808 4.3554 8.5108
Nd 3.4680 7.2591 14.1847
Ho 2.7744 2.9036 5.6739
Ho 1.3872 5.8072 5.6739
Ho 1.3872 2.9036 11.3478
Ho 2.7744 5.8072 11.3478
```



Q | A plane-wave DFT calculation with PBE was carried out for crystalline Tb2NdHo2 at its relaxed geometry.

Output
Space-group type = P4/mbm (127)
Spin magnetization = 0.00 μB per atom

Cell and atoms, written as extended XYZ:
```
10
Lattice="9.3746 0.0000 0.0000 0.0000 9.3746 0.0000 0.0000 0.0000 3.7331" Properties=species:S:1:pos:R:3 pbc="T T T"
Tb 1.1809 3.5064 0.0000
Tb 3.5064 8.1937 0.0000
Tb 5.8682 1.1809 0.0000
Tb 8.1937 5.8682 0.0000
Nd 0.0000 0.0000 0.0000
Nd 4.6873 4.6873 0.0000
Ho 1.6032 6.2905 1.8666
Ho 3.0841 1.6032 1.8666
Ho 6.2905 7.7714 1.8666
Ho 7.7714 3.0841 1.8666
```



Result of the stability comparison: P is the least stable of them.



P | A plane-wave DFT calculation with PBE was carried out for crystalline TbNd5Ho4 at its relaxed geometry.

Output
Space-group type = P-1 (2)
Spin magnetization = 0.00 μB per atom

Cell and atoms, written as extended XYZ:
```
10
Lattice="3.6098 0.0000 0.0000 1.8039 9.3493 0.0000 0.0105 2.8331 9.8035" Properties=species:S:1:pos:R:3 pbc="T T T"
Tb 0.0000 0.0000 0.0000
Nd 0.0053 1.4165 4.9017
Nd 1.8100 7.3054 5.8875
Nd 1.8082 2.4240 1.9166
Nd 3.6161 9.7584 7.8869
Nd 3.6143 4.8770 3.9160
Ho 1.8038 5.9013 0.9771
Ho 1.8128 3.8766 6.9007
Ho 3.6115 8.3058 2.9028
Ho 3.6205 6.2811 8.8264
```



Q | A plane-wave DFT calculation with PBE was carried out for crystalline TbNd5Ho4 at its relaxed geometry.

Output
Space-group type = Pmmn (59)
Spin magnetization = 0.00 μB per atom

Cell and atoms, written as extended XYZ:
```
20
Lattice="8.9535 0.0000 0.0000 0.0000 9.2533 0.0000 0.0000 0.0000 8.2810" Properties=species:S:1:pos:R:3 pbc="T T T"
Tb 2.2384 2.3133 0.9927
Tb 6.7151 6.9399 7.2884
Nd 0.3626 0.6033 6.6739
Nd 0.3626 4.0233 6.6739
Nd 2.2384 6.9399 8.1309
Nd 4.1141 0.6033 6.6739
Nd 4.1141 4.0233 6.6739
Nd 4.8393 5.2300 1.6071
Nd 4.8393 8.6499 1.6071
Nd 6.7151 2.3133 0.1501
Nd 8.5908 5.2300 1.6071
Nd 8.5908 8.6499 1.6071
Ho 0.5209 6.9399 4.8872
Ho 2.2384 0.5024 3.7585
Ho 2.2384 4.1243 3.7585
Ho 3.9558 6.9399 4.8872
Ho 4.9977 2.3133 3.3938
Ho 6.7151 5.1290 4.5225
Ho 6.7151 8.7509 4.5225
Ho 8.4325 2.3133 3.3938
```



Result of the stability comparison: Q is the least stable of them.



P | A plane-wave DFT calculation with PBE was carried out for crystalline TbNd6Ho8 at its relaxed geometry.

Output
Space-group type = R-3 (148)
Spin magnetization = 0.00 μB per atom

Cell and atoms, written as extended XYZ:
```
15
Lattice="4.5524 2.6283 6.9551 -4.5524 2.6283 6.9551 0.0000 -5.2566 6.9551" Properties=species:S:1:pos:R:3 pbc="T T T"
Tb 0.0000 0.0000 0.0000
Nd -0.5648 -1.9590 6.0440
Nd -1.4141 1.4687 6.0440
Nd -1.9790 -0.4903 14.8212
Nd 1.9790 0.4903 6.0440
Nd 1.4141 -1.4687 14.8212
Nd 0.5648 1.9590 14.8212
Ho -2.8978 -1.5100 10.9741
Ho -0.1412 -3.2646 9.8911
Ho -2.7567 1.7546 9.8911
Ho 0.0000 0.0000 8.8331
Ho 0.0000 0.0000 12.0321
Ho 2.7567 -1.7546 10.9741
Ho 0.1412 3.2646 10.9741
Ho 2.8979 1.5100 9.8911
```



Q | A plane-wave DFT calculation with PBE was carried out for crystalline TbNd6Ho8 at its relaxed geometry.

Output
Space-group type = P-3 (147)
Spin magnetization = 0.00 μB per atom

Cell and atoms, written as extended XYZ:
```
15
Lattice="9.5120 0.0000 0.0000 -4.7560 8.2376 0.0000 0.0000 0.0000 6.5510" Properties=species:S:1:pos:R:3 pbc="T T T"
Tb 0.0000 0.0000 0.0000
Nd -1.1103 3.3638 5.9310
Nd -1.2877 7.5173 5.9310
Nd 2.3579 2.6435 0.6199
Nd 2.3981 5.5942 5.9310
Nd 6.0437 0.7203 0.6199
Nd 5.8664 4.8739 0.6199
Ho -3.0887 5.6893 3.9401
Ho 1.3733 2.7181 3.9401
Ho 3.0405 0.1698 2.6109
Ho 0.0000 5.4918 2.2913
Ho 4.7560 2.7459 4.2597
Ho 1.7155 8.0679 3.9401
Ho 3.3827 5.5196 2.6109
Ho 7.8447 2.5483 2.6109
```



Result of the stability comparison: Q is the least stable of them.



P | A plane-wave DFT calculation with PBE was carried out for crystalline Tb2Nd4Ho3 at its relaxed geometry.

Output
Space-group type = P3m1 (156)
Spin magnetization = 0.00 μB per atom

Cell and atoms, written as extended XYZ:
```
9
Lattice="3.6164 0.0000 0.0000 -1.8082 3.1319 0.0000 0.0000 0.0000 26.7467" Properties=species:S:1:pos:R:3 pbc="T T T"
Tb 0.0000 0.0000 0.0000
Tb 0.0000 0.0000 5.5905
Nd 0.0000 0.0000 9.1137
Nd 0.0000 0.0000 14.8798
Nd 0.0000 2.0879 17.9668
Nd 0.0000 2.0879 23.7926
Ho 0.0000 0.0000 20.8667
Ho 0.0000 2.0879 2.8297
Ho 0.0000 2.0879 11.9535
```



Q | A plane-wave DFT calculation with PBE was carried out for crystalline Tb2Nd4Ho3 at its relaxed geometry.

Output
Space-group type = C2/m (12)
Spin magnetization = 0.00 μB per atom

Cell and atoms, written as extended XYZ:
```
9
Lattice="5.6806 -2.5511 0.0000 5.6806 2.5511 0.0000 -3.3790 0.0000 10.2691" Properties=species:S:1:pos:R:3 pbc="T T T"
Tb 1.1506 0.0000 2.3033
Tb 6.8316 0.0000 7.9658
Nd -1.1114 0.0000 9.1237
Nd 3.4161 0.0000 6.8456
Nd 4.5662 0.0000 3.4235
Nd 9.0937 0.0000 1.1455
Ho 0.0162 0.0000 5.6896
Ho 5.6806 0.0000 0.0000
Ho 7.9661 0.0000 4.5795
```



Result of the stability comparison: P is the least stable of them.



P | A plane-wave DFT calculation with PBE was carried out for crystalline Tb6NdHo2 at its relaxed geometry.

Output
Space-group type = P-1 (2)
Spin magnetization = 0.00 μB per atom

Cell and atoms, written as extended XYZ:
```
9
Lattice="3.5691 0.0000 0.0000 -0.0081 8.7258 0.0000 -1.7772 -0.0181 9.2602" Properties=species:S:1:pos:R:3 pbc="T T T"
Tb 0.0017 1.4389 2.0593
Tb -0.0055 7.2741 4.1094
Tb 0.0008 4.3540 6.1568
Tb 1.7831 4.3537 3.1034
Tb 1.7894 1.4336 5.1508
Tb 1.7822 7.2688 7.2009
Nd -0.0040 4.3629 0.0000
Ho 0.0057 1.4197 8.2289
Ho 1.7782 7.2880 1.0314
```



Q | A plane-wave DFT calculation with PBE was carried out for crystalline Tb6NdHo2 at its relaxed geometry.

Output
Space-group type = C2/c (15)
Spin magnetization = 0.00 μB per atom

Cell and atoms, written as extended XYZ:
```
18
Lattice="6.4082 -7.1035 0.0000 6.4082 7.1035 0.0000 -1.5364 0.0000 6.4139" Properties=species:S:1:pos:R:3 pbc="T T T"
Tb 1.9393 2.8567 4.6632
Tb 4.4182 4.4872 6.4018
Tb 6.0936 4.4872 3.2191
Tb 4.3984 1.2285 1.1438
Tb 2.7075 -2.8567 1.4562
Tb 3.6302 -1.2285 4.3508
Tb 7.6497 1.2285 2.0632
Tb 8.5725 2.8567 4.9577
Tb 6.8816 -1.2285 5.2701
Tb 5.1864 -4.4872 3.1948
Tb 6.8617 -4.4872 0.0121
Tb 9.3407 -2.8567 1.7507
Nd 5.2559 1.7322 4.8105
Nd 6.0241 -1.7322 1.6035
Ho 1.2321 0.3397 2.3514
Ho 0.4639 -0.3397 5.5583
Ho 10.8161 0.3397 0.8556
Ho 10.0479 -0.3397 4.0626
```



Result of the stability comparison: Q is the least stable of them.



P | A plane-wave DFT calculation with PBE was carried out for crystalline Tb6NdHo at its relaxed geometry.

Output
Space-group type = P4/mmm (123)
Spin magnetization = 0.00 μB per atom

Cell and atoms, written as extended XYZ:
```
8
Lattice="5.0515 0.0000 0.0000 0.0000 5.0515 0.0000 0.0000 0.0000 10.0942" Properties=species:S:1:pos:R:3 pbc="T T T"
Tb 0.0000 0.0000 0.0000
Tb 0.0000 0.0000 5.0471
Tb 0.0000 2.5257 2.4972
Tb 0.0000 2.5257 7.5970
Tb 2.5257 0.0000 2.4972
Tb 2.5257 0.0000 7.5970
Nd 2.5257 2.5257 5.0471
Ho 2.5257 2.5257 0.0000
```



Q | A plane-wave DFT calculation with PBE was carried out for crystalline Tb6NdHo at its relaxed geometry.

Output
Space-group type = C2/m (12)
Spin magnetization = 0.00 μB per atom

Cell and atoms, written as extended XYZ:
```
8
Lattice="5.0120 -3.4284 0.0000 5.0120 3.4284 0.0000 -2.0291 0.0000 8.2356" Properties=species:S:1:pos:R:3 pbc="T T T"
Tb 2.6500 1.7999 1.6284
Tb 0.4185 0.0000 3.4911
Tb 5.3448 1.7999 6.6072
Tb 2.6500 -1.7999 1.6284
Tb 7.5763 0.0000 4.7446
Tb 5.3448 -1.7999 6.6072
Nd 3.9974 0.0000 4.1178
Ho 5.0120 0.0000 0.0000
```



Result of the stability comparison: Q is the least stable of them.



P | A plane-wave DFT calculation with PBE was carried out for crystalline TbNd4Ho5 at its relaxed geometry.

Output
Space-group type = P4/mmm (123)
Spin magnetization = 0.00 μB per atom

Cell and atoms, written as extended XYZ:
```
10
Lattice="3.6006 0.0000 0.0000 0.0000 3.6006 0.0000 0.0000 0.0000 25.2232" Properties=species:S:1:pos:R:3 pbc="T T T"
Tb 0.0000 0.0000 0.0000
Nd 0.0000 0.0000 5.0118
Nd 0.0000 0.0000 10.0783
Nd 0.0000 0.0000 15.1449
Nd 0.0000 0.0000 20.2114
Ho 1.8003 1.8003 2.4648
Ho 1.8003 1.8003 7.5409
Ho 1.8003 1.8003 12.6116
Ho 1.8003 1.8003 17.6822
Ho 1.8003 1.8003 22.7584
```



Q | A plane-wave DFT calculation with PBE was carried out for crystalline TbNd4Ho5 at its relaxed geometry.

Output
Space-group type = C2/m (12)
Spin magnetization = 0.00 μB per atom

Cell and atoms, written as extended XYZ:
```
10
Lattice="8.5927 -1.7671 0.0000 8.5927 1.7671 0.0000 -0.0109 0.0000 11.2674" Properties=species:S:1:pos:R:3 pbc="T T T"
Tb 0.0000 0.0000 0.0000
Nd 2.7007 0.0000 2.8156
Nd 8.0431 0.0000 2.8228
Nd 9.1313 0.0000 8.4446
Nd 14.4738 0.0000 8.4519
Ho -0.0054 0.0000 5.6337
Ho 5.6096 0.0000 0.5644
Ho 5.6125 0.0000 5.0826
Ho 11.5619 0.0000 6.1848
Ho 11.5649 0.0000 10.7030
```



Result of the stability comparison: Q is the least stable of them.



P | A plane-wave DFT calculation with PBE was carried out for crystalline Tb3NdHo3 at its relaxed geometry.

Output
Space-group type = P6_3/m (176)
Spin magnetization = 0.00 μB per atom

Cell and atoms, written as extended XYZ:
```
14
Lattice="9.5818 0.0000 0.0000 -4.7909 8.2981 0.0000 0.0000 0.0000 5.6872" Properties=species:S:1:pos:R:3 pbc="T T T"
Tb -0.6715 1.9720 1.4218
Tb -2.7474 7.8936 1.4218
Tb 1.3721 1.5675 4.2654
Tb 3.4188 6.7306 1.4218
Tb 7.5383 0.4045 4.2654
Tb 5.4624 6.3261 4.2654
Nd 0.0000 5.5321 1.4218
Nd 4.7909 2.7660 4.2654
Ho -1.3667 3.9553 4.2654
Ho -0.6822 7.5040 4.2654
Ho 2.7420 3.1612 1.4218
Ho 2.0489 5.1368 4.2654
Ho 5.4731 0.7941 1.4218
Ho 6.1576 4.3428 1.4218
```



Q | A plane-wave DFT calculation with PBE was carried out for crystalline Tb3NdHo3 at its relaxed geometry.

Output
Space-group type = Cm (8)
Spin magnetization = 0.00 μB per atom

Cell and atoms, written as extended XYZ:
```
28
Lattice="7.5991 -7.4858 0.0000 7.5991 7.4858 0.0000 -0.1081 0.0000 8.2696" Properties=species:S:1:pos:R:3 pbc="T T T"
Tb 0.0000 0.0000 0.0000
Tb 6.0579 5.8359 5.6068
Tb 2.6660 1.7924 1.3469
Tb 4.3489 3.2302 4.1323
Tb 4.0045 0.0000 3.8267
Tb 7.7270 3.7214 7.9124
Tb 2.6660 -1.7924 1.3469
Tb 4.3489 -3.2302 4.1323
Tb 9.8088 1.7392 1.8740
Tb 9.8088 -1.7392 1.8740
Tb 7.7270 -3.7214 7.9124
Tb 6.0579 -5.8359 5.6068
Nd 5.0110 0.0000 7.2040
Nd 7.4033 0.0000 4.4577
Nd 10.1359 1.7905 5.4505
Nd 10.1359 -1.7905 5.4505
Ho 4.2211 3.9107 7.7849
Ho 2.0444 1.7263 6.1518
Ho 0.6443 0.0000 3.4898
Ho 2.0444 -1.7263 6.1518
Ho 8.1204 3.9229 3.6053
Ho 6.1604 1.7445 1.7515
Ho 6.1604 -1.7445 1.7515
Ho 4.2211 -3.9107 7.7849
Ho 13.2108 1.8001 2.1698
Ho 11.7392 0.0000 7.9287
Ho 8.1204 -3.9229 3.6053
Ho 13.2108 -1.8001 2.1698
```



Result of the stability comparison: Q is the least stable of them.



P | A plane-wave DFT calculation with PBE was carried out for crystalline Tb5Nd3Ho4 at its relaxed geometry.

Output
Space-group type = C2/m (12)
Spin magnetization = 0.03 μB per atom

Cell and atoms, written as extended XYZ:
```
12
Lattice="9.0588 -2.8714 0.0000 9.0588 2.8714 0.0000 -4.0283 0.0000 7.6949" Properties=species:S:1:pos:R:3 pbc="T T T"
Tb 0.0000 0.0000 0.0000
Tb 5.7573 0.0000 0.9161
Tb 4.8658 0.0000 4.3785
Tb 9.2234 0.0000 3.3164
Tb 8.3320 0.0000 6.7787
Nd 2.4930 0.0000 1.6524
Nd 9.0588 0.0000 0.0000
Nd 11.5963 0.0000 6.0425
Ho -2.2325 0.0000 5.3384
Ho 1.0571 0.0000 5.0075
Ho 13.0322 0.0000 2.6873
Ho 16.3218 0.0000 2.3565
```



Q | A plane-wave DFT calculation with PBE was carried out for crystalline Tb5Nd3Ho4 at its relaxed geometry.

Output
Space-group type = P-1 (2)
Spin magnetization = 0.00 μB per atom

Cell and atoms, written as extended XYZ:
```
12
Lattice="6.1968 0.0000 0.0000 -0.0199 7.1531 0.0000 -0.0164 -0.0056 8.7595" Properties=species:S:1:pos:R:3 pbc="T T T"
Tb 0.0000 0.0000 0.0000
Tb 2.0583 3.5741 2.9210
Tb 3.0602 5.3706 8.7586
Tb 3.1003 1.7768 0.0009
Tb 4.1022 3.5733 5.8386
Nd -0.0099 3.5765 0.0000
Nd 1.0133 1.7776 5.8303
Nd 5.1472 5.3698 2.9293
Ho 1.0171 5.3715 5.8367
Ho 2.0626 -0.0009 2.9188
Ho 4.0979 7.1483 5.8407
Ho 5.1434 1.7759 2.9228
```



Result of the stability comparison: P is the least stable of them.